(1)
## Tl7HgBi3 (PBE-GGA)

Data for a relaxed Tl7HgBi3 crystal.

```
Tl7HgBi3
1.0
7.069 0.000 0.000
-3.535 6.122 0.000
0.000 0.000 8.366
Tl Hg Bi
7 1 3
Direct
0.000 0.000 0.000 Tl
0.010 0.505 0.999 Tl
0.170 0.340 0.359 Tl
0.170 0.830 0.359 Tl
0.495 0.505 0.999 Tl
0.495 0.990 0.999 Tl
0.660 0.830 0.359 Tl
0.667 0.333 0.322 Hg
0.348 0.174 0.674 Bi
0.826 0.174 0.674 Bi
0.826 0.652 0.674 Bi
```

**Calculated density**: 10.36 g/cm³
**Final energy**: -0.094 hartree per atom
**DFT formation energy**: 35 meV per atom
**Total magnetic moment**: 0.00 μB per cell
**Space group**: P3m1, No. 156
**D(E_F)**: 6.09 states/eV per cell


(2)
## Tl3HgBi (PBE-GGA)

Data for a relaxed Tl3HgBi crystal.

```
Tl3HgBi
1.0
5.761 0.000 0.000
0.000 7.159 0.000
-1.313 0.000 7.858
Tl Hg Bi
6 2 2
Direct
0.151 0.015 0.232 Tl
0.151 0.485 0.232 Tl
0.277 0.250 0.645 Tl
0.723 0.750 0.355 Tl
0.849 0.515 0.768 Tl
0.849 0.985 0.768 Tl
0.424 0.750 0.983 Hg
0.576 0.250 0.017 Hg
0.307 0.750 0.590 Bi
0.693 0.250 0.410 Bi
```

**Calculated density**: 10.48 g/cm³
**Energy above the most stable polymorph in this dataset**: 0.0 kJ/mol of atoms
**Final energy**: -0.083 hartree per atom
**DFT formation energy**: -6 meV per atom
**Total magnetic moment**: 0.00 μB per cell
**Space group**: P2_1/m, No. 11
**D(E_F)**: 3.03 states/eV per cell


Question: Look up the D(E_F) of the first one.
Answer: 6.09 states/eV per cell